# 1
Below is a relaxed structure of V2Si2Tc, with properties calculated at the PBE level.

## Properties
As for the crystal system: tetragonal. As for the uncorrected formation energy: -0.475 eV/atom. As for the space group: P4/mbm.

a b c (Å): 6.3886 6.3886 3.2590
angles (deg): 90.00 90.00 90.00
Last column: nearest neighbours and their distance in Å.
Sites, in units of the cell vectors:
V 0.1668 0.3332 0.0000  6 Si 2.45-2.52
V 0.3332 0.8332 0.0000  6 Si 2.45-2.52
V 0.6668 0.1668 0.0000  6 Si 2.45-2.52
V 0.8332 0.6668 0.0000  6 Si 2.45-2.52
Si 0.1313 0.6313 0.5000  1 Si 2.37, 6 V 2.45-2.52, 2 Tc 2.50
Si 0.3687 0.1313 0.5000  1 Si 2.37, 6 V 2.45-2.52, 2 Tc 2.50
Si 0.6313 0.8687 0.5000  1 Si 2.37, 6 V 2.45-2.52, 2 Tc 2.50
Si 0.8687 0.3687 0.5000  1 Si 2.37, 6 V 2.45-2.52, 2 Tc 2.50
Tc 0.0000 0.0000 0.5000  4 Si 2.50
Tc 0.5000 0.5000 0.5000  4 Si 2.50

***

# 2
Below is a relaxed structure of V2HgH, with properties calculated at the PBE level.

## Properties
As for the crystal system: trigonal. The energy relative to the lowest polymorph listed for this composition is 0.110 eV per atom. As for the space group: R-3m.

a b c (Å): 8.2941 8.2941 8.2941
angles (deg): 19.32 19.32 19.32
Last column: nearest neighbours and their distance in Å.
Sites, in units of the cell vectors:
V 0.1186 0.1186 0.1186  3 H 1.99
V 0.8814 0.8814 0.8814  3 H 1.99
Hg 0.0000 0.0000 0.0000  6 Hg 2.78, 2 V 2.89
H 0.5000 0.5000 0.5000  6 V 1.99

***

# 3
Below is a relaxed structure of Ga2NiHgSb, with properties calculated at the PBE level.

## Properties
As for the crystal system: tetragonal. As for the uncorrected formation energy: -0.008 eV/atom. As for the space group: P4/mmm.

a b c (Å): 4.6103 4.6103 5.2253
angles (deg): 90.00 90.00 90.00
Last column: nearest neighbours and their distance in Å.
Sites, in units of the cell vectors:
Ga 0.0000 0.5000 0.0000  2 Ni 2.31
Ga 0.5000 0.0000 0.0000  2 Ni 2.31
Ni 0.0000 0.0000 0.0000  4 Ga 2.31
Hg 0.5000 0.5000 0.5000  4 Sb 3.26, 8 Ga 3.48
Sb 0.0000 0.0000 0.5000  2 Ni 2.61